Material: KSiRh
Method: DFT, PBEsol
State: relaxed

The structure in POSCAR format:
```
KSiRh
1.0
3.9258 0.0000 0.0000
-1.9629 3.3998 0.0000
0.0000 0.0000 5.4397
K Si Rh
1 1 1
direct
0.0000 0.0000 0.0000
0.6667 0.3333 0.5000
0.3333 0.6667 0.5000
```

Properties
- Uncorrected energy: -5.15 eV/atom

=====

Material: SrAgTe2
Method: DFT, PBEsol
State: relaxed

The structure in POSCAR format:
```
SrAgTe2
1.0
6.0629 -2.3243 0.0000
6.0629 2.3243 0.0000
-1.1658 0.0000 4.3759
Sr Ag Te
1 1 2
direct
0.0000 0.0000 0.0000
0.7198 0.7198 0.1942
0.3195 0.3195 0.1022
0.5752 0.5752 0.5718
```

Properties
- Uncorrected energy: -3.79 eV/atom

=====

Material: ZrAs2WBr
Method: DFT, PBEsol
State: relaxed

The structure in POSCAR format:
```
ZrAs2WBr
1.0
4.8179 0.0000 0.0000
0.0000 4.8179 0.0000
0.0000 0.0000 4.9662
Zr As W Br
1 2 1 1
direct
0.0000 0.0000 0.0000
0.0000 0.5000 0.5000
0.5000 0.0000 0.5000
0.5000 0.5000 0.5000
0.5000 0.5000 0.0000
```

Properties
- Uncorrected energy: -6.29 eV/atom

=====

Material: Mg2Sb
Method: DFT, PBEsol
State: relaxed

The structure in POSCAR format:
```
Mg2Sb
1.0
1.6682 -7.7254 0.0000
1.6682 7.7254 0.0000
0.0000 0.0000 5.6271
Mg Sb
4 2
direct
0.0437 0.9563 0.7500
0.3690 0.6310 0.7500
0.6310 0.3690 0.2500
0.9563 0.0437 0.2500
0.3013 0.6987 0.2500
0.6987 0.3013 0.7500
```

Properties
- Uncorrected energy: -2.75 eV/atom

=====

Material: ZnPtAu2
Method: DFT, PBEsol
State: relaxed

The structure in POSCAR format:
```
ZnPtAu2
1.0
2.8569 0.0000 0.0000
0.0000 3.7994 0.0000
0.0000 0.0000 5.7480
Zn Pt Au
1 1 2
direct
0.0000 0.0000 0.0000
0.5000 0.5000 0.7858
0.0000 0.0000 0.5202
0.5000 0.5000 0.2594
```

Properties
- Uncorrected energy: -4.30 eV/atom

=====

Material: Ta3HF
Method: DFT, PBEsol
State: relaxed

The structure in POSCAR format:
```
Ta3HF
1.0
4.0741 0.0000 0.0000
0.0000 4.0741 0.0000
0.0000 0.0000 4.0741
Ta H F
3 1 1
direct
0.0000 0.0000 0.5000
0.0000 0.5000 0.0000
0.5000 0.0000 0.0000
0.0000 0.0000 0.0000
0.5000 0.5000 0.5000
```

Properties
- Uncorrected energy: -8.32 eV/atom

=====

Material: CoAs2Pt
Method: DFT, PBEsol
State: relaxed

The structure in POSCAR format:
```
CoAs2Pt
1.0
-1.6250 1.9548 5.4439
1.6250 -1.9548 5.4439
1.6250 1.9548 -5.4439
Co As Pt
1 2 1
direct
0.0000 0.0000 0.0000
0.1534 0.6534 0.5000
0.8466 0.3466 0.5000
0.5000 0.5000 0.0000
```

Properties
- Uncorrected energy: -6.22 eV/atom
- E above lowest polymorph: 0 kJ/mol of formula units

=====

Material: LiTaNi2
Method: DFT, PBEsol
State: relaxed

The structure in POSCAR format:
```
LiTaNi2
1.0
4.0005 -1.3046 0.0000
4.0005 1.3046 0.0000
-0.5470 0.0000 4.8081
Li Ta Ni
1 1 2
direct
0.0000 0.0000 0.0000
0.5000 0.5000 0.5000
0.2530 0.2530 0.7686
0.7470 0.7470 0.2314
```

Properties
- Uncorrected energy: -6.56 eV/atom

=====

Material: LaAuCl
Method: DFT, PBEsol
State: relaxed

The structure in POSCAR format:
```
LaAuCl
1.0
4.7759 0.0000 0.0000
-2.3880 4.1361 0.0000
0.0000 0.0000 3.6988
La Au Cl
1 1 1
direct
0.0000 0.0000 0.0000
0.3333 0.6667 0.5008
0.6667 0.3333 0.0019
```

Properties
- Uncorrected energy: -4.87 eV/atom
- E above lowest polymorph: 0 kJ/mol of formula units

=====

Material: YCdTe
Method: DFT, PBEsol
State: relaxed

The structure in POSCAR format:
```
YCdTe
1.0
-1.9107 1.9107 5.2472
1.9107 -1.9107 5.2472
1.9107 1.9107 -5.2472
Y Cd Te
1 1 1
direct
0.0000 0.0000 0.0000
0.3280 0.3280 0.0000
0.6546 0.6546 0.0000
```

Properties
- Uncorrected energy: -4.49 eV/atom

=====

Material: Cu2MoPt
Method: DFT, PBEsol
State: relaxed

The structure in POSCAR format:
```
Cu2MoPt
1.0
4.4084 0.0000 0.0000
0.0000 4.4084 0.0000
0.0000 0.0000 2.7318
Cu Mo Pt
2 1 1
direct
0.0000 0.5000 0.0000
0.5000 0.0000 0.0000
0.0000 0.0000 0.5000
0.5000 0.5000 0.5000
```

Properties
- Uncorrected energy: -6.62 eV/atom
- E above lowest polymorph: 113 kJ/mol of formula units

=====

Material: Ti3TeP
Method: DFT, PBEsol
State: relaxed

The structure in POSCAR format:
```
Ti3TeP
1.0
4.9444 0.0000 0.0000
0.0000 4.9444 0.0000
0.0000 0.0000 4.9444
Ti Te P
3 1 1
direct
0.0000 0.0000 0.5000
0.0000 0.5000 0.0000
0.5000 0.0000 0.0000
0.0000 0.0000 0.0000
0.5000 0.5000 0.5000
```

Properties
- Uncorrected energy: -5.90 eV/atom